(1)
CdGeN2F: single point on PBEsol structure, meta-GGA SCAN.

Output
The raw formation energy comes out at 1.03 eV per atom. Its final energy is -13.298 eV per atom.

```
data_CdGeN2F
_symmetry_space_group_name_H-M 'P 4/m m m'
_symmetry_Int_Tables_number 123
_symmetry_space_group_name_Hall '-P 4 2'
_cell_length_a 4.175
_cell_length_b 4.175
_cell_length_c 4.282
_cell_angle_alpha 90.00
_cell_angle_beta 90.00
_cell_angle_gamma 90.00
loop_
_atom_site_label
_atom_site_type_symbol
_atom_site_fract_x
_atom_site_fract_y
_atom_site_fract_z
_atom_site_occupancy
Cd1 Cd 0.000 0.000 0.000 1
Ge1 Ge 0.500 0.500 0.500 1
N1 N 0.000 0.500 0.000 1
F1 F 0.000 0.000 0.500 1
```

(2)
Zr2CdGeF: single point on PBEsol structure, meta-GGA SCAN.

Output
The raw formation energy comes out at 0.34 eV per atom. Its final energy is -22.553 eV per atom.

```
data_Zr2CdGeF
_symmetry_space_group_name_H-M 'P 4/m m m'
_symmetry_Int_Tables_number 123
_symmetry_space_group_name_Hall '-P 4 2'
_cell_length_a 5.270
_cell_length_b 5.270
_cell_length_c 4.124
_cell_angle_alpha 90.00
_cell_angle_beta 90.00
_cell_angle_gamma 90.00
loop_
_atom_site_label
_atom_site_type_symbol
_atom_site_fract_x
_atom_site_fract_y
_atom_site_fract_z
_atom_site_occupancy
Zr1 Zr 0.000 0.500 0.000 1
Cd1 Cd 0.000 0.000 0.000 1
Ge1 Ge 0.500 0.500 0.500 1
F1 F 0.000 0.000 0.500 1
```

Which value of final energy does entry 2 give? -22.553 eV per atom

final energy of number 2 (Zr2CdGeF)? -22.553 eV per atom